No. 1
KTa2Cu: optimized geometry, PBE-GGA.

Fermi-level density of states: 4.62 states/eV per cell
total moment: 0.00 μB/atom
formation energy: 0.808 eV per atom
offset from the most stable computed form: 0.227 eV/atom
symmetry: No. 123
E_tot: -6.417 eV per atom

a = 2.827 Å, b = 2.827 Å, c = 10.436 Å
α = 90.00°, β = 90.00°, γ = 90.00°
Sites, in units of the cell vectors:
Ta 0.000 0.000 0.430
Cu 0.500 0.500 0.250
K 0.500 0.500 0.750
Ta 0.000 0.000 0.070

No. 2
Zr2PRu: optimized geometry, PBE-GGA.

Fermi-level density of states: 3.32 states/eV per cell
total moment: 0.00 μB/atom
formation energy: -0.641 eV per atom
symmetry: No. 65
E_tot: -8.586 eV per atom

a = 4.620 Å, b = 4.620 Å, c = 3.336 Å
α = 90.00°, β = 90.00°, γ = 102.26°
Sites, in units of the cell vectors:
Ru 0.500 0.500 0.500
P 0.000 0.000 0.500
Zr 0.000 0.500 0.000
Zr 0.500 0.000 0.000

No. 3
La3PmSm6: optimized geometry, PBE-GGA.

Fermi-level density of states: 21.85 states/eV per cell
total moment: 0.00 μB/atom
formation energy: 0.245 eV per atom
offset from the most stable computed form: 0.109 eV/atom
symmetry: No. 146
E_tot: -4.540 eV per atom

a = 10.100 Å, b = 10.100 Å, c = 7.045 Å
α = 44.21°, β = 44.21°, γ = 60.00°
Sites, in units of the cell vectors:
Sm 0.277 0.923 0.197
Pm 0.850 0.850 0.449
La 0.599 0.599 0.203
Sm 0.776 0.097 0.705
Sm 0.423 0.776 0.705
Sm 0.923 0.603 0.197
Sm 0.603 0.277 0.197
Sm 0.097 0.423 0.705
La 0.102 0.102 0.695
La 0.350 0.350 0.949